VASP calculation (PBE) on crystalline CaTbNd6Ho2 at its relaxed geometry.

Its total energy is -86.1 eV per cell. The space group is C2/c (15). The formation energy is 0.133 eV/atom.

a = 9.0200 Å, b = 9.0200 Å, c = 9.8973 Å
α = 94.39°, β = 94.39°, γ = 118.50°
Positions (direct):
Ca 0.0982 0.9018 0.7500
Ca 0.9018 0.0982 0.2500
Tb 0.4733 0.5267 0.2500
Tb 0.5267 0.4733 0.7500
Nd 0.0011 0.7893 0.3771
Nd 0.0683 0.5272 0.1770
Nd 0.2107 0.9989 0.1229
Nd 0.2638 0.6135 0.5523
Nd 0.3865 0.7362 0.9477
Nd 0.4728 0.9317 0.3230
Nd 0.5272 0.0683 0.6770
Nd 0.6135 0.2638 0.0523
Nd 0.7362 0.3865 0.4477
Nd 0.7893 0.0011 0.8771
Nd 0.9317 0.4728 0.8230
Nd 0.9989 0.2107 0.6229
Ho 0.2027 0.3021 0.9564
Ho 0.3021 0.2027 0.4564
Ho 0.6979 0.7973 0.5436
Ho 0.7973 0.6979 0.0436



VASP calculation (PBE) on crystalline Sr3BeTl at its relaxed geometry.

The calculation puts the energy above the most stable polymorph in this dataset at 0.000 eV per atom. Its total energy is -9.9 eV per cell. The space group is Pm-3m (221). The formation energy is 0.256 eV/atom.

a = 5.9169 Å, b = 5.9169 Å, c = 5.9169 Å
α = 90.00°, β = 90.00°, γ = 90.00°
Positions (direct):
Sr 0.0000 0.0000 0.5000
Sr 0.0000 0.5000 0.0000
Sr 0.5000 0.0000 0.0000
Be 0.0000 0.0000 0.0000
Tl 0.5000 0.5000 0.5000



VASP calculation (PBE) on crystalline BaCd9Cu3 at its relaxed geometry.

Its total energy is -23.4 eV per cell. The space group is C2/m (12). The formation energy is -0.075 eV/atom.

a = 7.7481 Å, b = 7.7481 Å, c = 7.4113 Å
α = 96.29°, β = 96.29°, γ = 138.71°
Positions (direct):
Ba 0.0000 0.0000 0.0000
Cd 0.0000 0.0000 0.5000
Cd 0.0355 0.6732 0.6640
Cd 0.3004 0.5275 0.7819
Cd 0.3268 0.9645 0.3360
Cd 0.4725 0.6996 0.2181
Cd 0.5275 0.3004 0.7819
Cd 0.6732 0.0355 0.6640
Cd 0.6996 0.4725 0.2181
Cd 0.9645 0.3268 0.3360
Cu 0.0000 0.5000 0.0000
Cu 0.5000 0.0000 0.0000
Cu 0.5000 0.5000 0.5000



VASP calculation (PBE) on crystalline Cr3FeW at its relaxed geometry.

The calculation puts the energy above the most stable polymorph in this dataset at 0.650 eV per atom. Its total energy is -41.0 eV per cell. The space group is Pm-3m (221). The formation energy is 1.857 eV/atom.

a = 4.6261 Å, b = 4.6261 Å, c = 4.6261 Å
α = 90.00°, β = 90.00°, γ = 90.00°
Positions (direct):
Cr 0.0000 0.0000 0.5000
Cr 0.0000 0.5000 0.0000
Cr 0.5000 0.0000 0.0000
Fe 0.5000 0.5000 0.5000
W 0.0000 0.0000 0.0000



VASP calculation (PBE) on crystalline Cs2Ti4Sn at its relaxed geometry.

Its total energy is -27.8 eV per cell. The space group is I4/mmm (139). The formation energy is 1.350 eV/atom.

a = 10.5578 Å, b = 10.5578 Å, c = 10.5578 Å
α = 150.49°, β = 150.49°, γ = 42.22°
Positions (direct):
Cs 0.1564 0.1564 0.0000
Cs 0.8436 0.8436 0.0000
Ti 0.0000 0.5000 0.5000
Ti 0.3667 0.3667 0.0000
Ti 0.5000 0.0000 0.5000
Ti 0.6333 0.6333 0.0000
Sn 0.5000 0.5000 0.0000



VASP calculation (PBE) on crystalline PrHo10Sc4 at its relaxed geometry.

Its total energy is -67.3 eV per cell. The space group is I4/m (87). The formation energy is 0.572 eV/atom.

a = 9.2733 Å, b = 9.2733 Å, c = 9.2733 Å
α = 97.29°, β = 97.29°, γ = 138.27°
Positions (direct):
Pr 0.0000 0.0000 0.0000
Ho 0.0353 0.6315 0.1580
Ho 0.1227 0.9647 0.5962
Ho 0.2500 0.7500 0.5000
Ho 0.3685 0.5265 0.4038
Ho 0.4735 0.8773 0.8420
Ho 0.5265 0.1227 0.1580
Ho 0.6315 0.4735 0.5962
Ho 0.7500 0.2500 0.5000
Ho 0.8773 0.0353 0.4038
Ho 0.9647 0.3685 0.8420
Sc 0.3226 0.4310 0.7536
Sc 0.4310 0.6774 0.1084
Sc 0.5690 0.3226 0.8916
Sc 0.6774 0.5690 0.2464



VASP calculation (PBE) on crystalline Na4Zr2TiC4O16 at its relaxed geometry.

Its total energy is -410.7 eV per cell. The space group is C2/c (15).

a = 6.1556 Å, b = 6.1556 Å, c = 18.3037 Å
α = 93.39°, β = 93.39°, γ = 66.22°
Positions (direct):
Na 0.0346 0.1755 0.0821
Na 0.1755 0.0346 0.5821
Na 0.2778 0.4659 0.4355
Na 0.4659 0.2778 0.9355
Na 0.5341 0.7222 0.0645
Na 0.7222 0.5341 0.5645
Na 0.8245 0.9654 0.4179
Na 0.9654 0.8245 0.9179
Zr 0.1328 0.4821 0.7521
Zr 0.4821 0.1328 0.2521
Zr 0.5179 0.8672 0.7479
Zr 0.8672 0.5179 0.2479
Ti 0.1788 0.8212 0.2500
Ti 0.8212 0.1788 0.7500
C 0.0127 0.2874 0.8992
C 0.2488 0.5625 0.6174
C 0.2874 0.0127 0.3992
C 0.4375 0.7512 0.8826
C 0.5625 0.2488 0.1174
C 0.7126 0.9873 0.6008
C 0.7512 0.4375 0.3826
C 0.9873 0.7126 0.1008
O 0.0882 0.4292 0.8668
O 0.0901 0.2218 0.9631
O 0.1191 0.1524 0.2395
O 0.1202 0.4405 0.6275
O 0.1388 0.7862 0.1359
O 0.1524 0.1191 0.7395
O 0.2138 0.8612 0.3641
O 0.2218 0.0901 0.4631
O 0.2300 0.4983 0.2620
O 0.3015 0.6560 0.6792
O 0.3125 0.5925 0.5561
O 0.3440 0.6985 0.8208
O 0.4075 0.6875 0.9439
O 0.4292 0.0882 0.3668
O 0.4405 0.1202 0.1275
O 0.4983 0.2300 0.7620
O 0.5017 0.7700 0.2380
O 0.5595 0.8798 0.8725
O 0.5708 0.9118 0.6332
O 0.5925 0.3125 0.0561
O 0.6560 0.3015 0.1792
O 0.6875 0.4075 0.4439
O 0.6985 0.3440 0.3208
O 0.7700 0.5017 0.7380
O 0.7782 0.9099 0.5369
O 0.7862 0.1388 0.6359
O 0.8476 0.8809 0.2605
O 0.8612 0.2138 0.8641
O 0.8798 0.5595 0.3725
O 0.8809 0.8476 0.7605
O 0.9099 0.7782 0.0369
O 0.9118 0.5708 0.1332



VASP calculation (PBE) on crystalline LiTaMo2Pb at its relaxed geometry.

Its total energy is -31.8 eV per cell. The space group is P4/mmm (123). The formation energy is 1.472 eV/atom.

a = 4.8802 Å, b = 4.8802 Å, c = 5.5033 Å
α = 90.00°, β = 90.00°, γ = 90.00°
Positions (direct):
Li 0.0000 0.0000 0.0000
Ta 0.5000 0.5000 0.5000
Mo 0.0000 0.5000 0.5000
Mo 0.5000 0.0000 0.5000
Pb 0.5000 0.5000 0.0000